Here is a geometry-optimized CePmAgAs structure from the Alexandria database. Energies are from GGA-PBE.

Lattice parameters (Å, degrees): 7.3524 7.3524 7.3524 90.00 90.00 90.00
Sites, in units of the cell vectors:
1 Ce 0.0000 0.0000 0.0000
2 Ce 0.0000 0.5000 0.5000
3 Ce 0.5000 0.0000 0.5000
4 Ce 0.5000 0.5000 0.0000
5 Pm 0.0000 0.0000 0.5000
6 Pm 0.0000 0.5000 0.0000
7 Pm 0.5000 0.0000 0.0000
8 Pm 0.5000 0.5000 0.5000
9 Ag 0.2500 0.2500 0.2500
10 Ag 0.2500 0.7500 0.7500
11 Ag 0.7500 0.2500 0.7500
12 Ag 0.7500 0.7500 0.2500
13 As 0.2500 0.2500 0.7500
14 As 0.2500 0.7500 0.2500
15 As 0.7500 0.2500 0.2500
16 As 0.7500 0.7500 0.7500

Results
Formation energy ... -13.6 kcal/mol of atoms
Total DFT energy (no corrections) ... -0.3776 Ry/atom
Density ... 7.8 g/cm³
N(E_F) ... 42.65 states/eV/cell
Space group ... F-43m, No. 216

***

Here is a geometry-optimized CeAgAs2Rh5 structure from the Alexandria database. Energies are from GGA-PBE.

Lattice parameters (Å, degrees): 4.1553 4.1553 8.9699 90.00 90.00 90.00
Sites, in units of the cell vectors:
1 Ce 0.0000 0.0000 0.0000
2 Ag 0.0000 0.0000 0.5000
3 As 0.5000 0.5000 0.3616
4 As 0.5000 0.5000 0.6384
5 Rh 0.0000 0.5000 0.2307
6 Rh 0.0000 0.5000 0.7693
7 Rh 0.5000 0.0000 0.2307
8 Rh 0.5000 0.0000 0.7693
9 Rh 0.5000 0.5000 0.0000

Results
Formation energy ... -10.3 kcal/mol of atoms
Total DFT energy (no corrections) ... -0.4806 Ry/atom
Density ... 9.8 g/cm³
N(E_F) ... 4.25 states/eV/cell
Space group ... P4/mmm, No. 123

***

Here is a geometry-optimized CeAg2AsS4 structure from the Alexandria database. Energies are from GGA-PBE.

Lattice parameters (Å, degrees): 7.9666 7.9666 8.2301 121.06 121.06 78.14
Sites, in units of the cell vectors:
1 Ce 0.0007 0.9993 0.5000
2 Ce 0.9993 0.0007 0.0000
3 Ag 0.1399 0.5881 0.6132
4 Ag 0.5881 0.1399 0.1132
5 Ag 0.6248 0.6252 0.1256
6 Ag 0.6252 0.6248 0.6256
7 As 0.1031 0.5334 0.0676
8 As 0.5334 0.1031 0.5676
9 S 0.2079 0.2227 0.4647
10 S 0.2227 0.2079 0.9647
11 S 0.2683 0.7004 0.0225
12 S 0.2691 0.7004 0.4451
13 S 0.7004 0.2683 0.5225
14 S 0.7004 0.2691 0.9451
15 S 0.7753 0.8174 0.0467
16 S 0.8174 0.7753 0.5467

Results
Total DFT energy (no corrections) ... -0.3494 Ry/atom
Density ... 4.9 g/cm³
N(E_F) ... 13.33 states/eV/cell
Space group ... Cc, No. 9

***

Here is a geometry-optimized CeZnAgAs2 structure from the Alexandria database. Energies are from GGA-PBE.

Lattice parameters (Å, degrees): 4.3225 4.3225 6.9148 90.00 90.00 120.00
Sites, in units of the cell vectors:
1 Ce 0.0000 0.0000 0.0000
2 Zn 0.6667 0.3333 0.3826
3 Ag 0.3333 0.6667 0.6454
4 As 0.3333 0.6667 0.2527
5 As 0.6667 0.3333 0.7644

Results
Formation energy ... -13.8 kcal/mol of atoms
Total DFT energy (no corrections) ... -0.3287 Ry/atom
Density ... 6.9 g/cm³
N(E_F) ... 6.42 states/eV/cell
Space group ... P3m1, No. 156

***

Here is a geometry-optimized Ag5As3Cl12 structure from the Alexandria database. Energies are from GGA-PBE.

Lattice parameters (Å, degrees): 14.2257 14.2257 14.2257 109.47 109.47 109.47
Sites, in units of the cell vectors:
1 Ag 0.0000 0.0000 0.0000
2 Ag 0.0000 0.0000 0.5000
3 Ag 0.0000 0.5000 0.0000
4 Ag 0.0000 0.5000 0.5000
5 Ag 0.1250 0.7500 0.8750
6 Ag 0.1250 0.8750 0.2500
7 Ag 0.2500 0.1250 0.8750
8 Ag 0.2500 0.6250 0.3750
9 Ag 0.3750 0.2500 0.6250
10 Ag 0.3750 0.6250 0.7500
11 Ag 0.5000 0.0000 0.0000
12 Ag 0.5000 0.0000 0.5000
13 Ag 0.5000 0.5000 0.0000
14 Ag 0.5000 0.5000 0.5000
15 Ag 0.6250 0.3750 0.2500
16 Ag 0.6250 0.7500 0.3750
17 Ag 0.7500 0.3750 0.6250
18 Ag 0.7500 0.8750 0.1250
19 Ag 0.8750 0.1250 0.7500
20 Ag 0.8750 0.2500 0.1250
21 As 0.1250 0.2500 0.3750
22 As 0.1250 0.3750 0.7500
23 As 0.2500 0.3750 0.1250
24 As 0.2500 0.8750 0.6250
25 As 0.3750 0.1250 0.2500
26 As 0.3750 0.7500 0.1250
27 As 0.6250 0.2500 0.8750
28 As 0.6250 0.8750 0.7500
29 As 0.7500 0.1250 0.3750
30 As 0.7500 0.6250 0.8750
31 As 0.8750 0.6250 0.2500
32 As 0.8750 0.7500 0.6250
33 Cl 0.0369 0.7020 0.6595
34 Cl 0.0369 0.8348 0.3773
35 Cl 0.0425 0.2020 0.1652
36 Cl 0.0425 0.3405 0.8773
37 Cl 0.1227 0.6652 0.4631
38 Cl 0.1227 0.9575 0.6595
39 Cl 0.1595 0.2020 0.5369
40 Cl 0.1595 0.4575 0.6227
41 Cl 0.1652 0.0425 0.2020
42 Cl 0.1652 0.6227 0.9631
43 Cl 0.2020 0.1652 0.0425
44 Cl 0.2020 0.5369 0.1595
45 Cl 0.2980 0.3405 0.9631
46 Cl 0.2980 0.4575 0.3348
47 Cl 0.3348 0.2980 0.4575
48 Cl 0.3348 0.5369 0.8773
49 Cl 0.3405 0.8773 0.0425
50 Cl 0.3405 0.9631 0.2980
51 Cl 0.3773 0.0369 0.8348
52 Cl 0.3773 0.8405 0.5425
53 Cl 0.4575 0.3348 0.2980
54 Cl 0.4575 0.6227 0.1595
55 Cl 0.4631 0.1227 0.6652
56 Cl 0.4631 0.8405 0.7980
57 Cl 0.5369 0.1595 0.2020
58 Cl 0.5369 0.8773 0.3348
59 Cl 0.5425 0.3773 0.8405
60 Cl 0.5425 0.6652 0.7020
61 Cl 0.6227 0.1595 0.4575
62 Cl 0.6227 0.9631 0.1652
63 Cl 0.6595 0.0369 0.7020
64 Cl 0.6595 0.1227 0.9575
65 Cl 0.6652 0.4631 0.1227
66 Cl 0.6652 0.7020 0.5425
67 Cl 0.7020 0.5425 0.6652
68 Cl 0.7020 0.6595 0.0369
69 Cl 0.7980 0.4631 0.8405
70 Cl 0.7980 0.8348 0.9575
71 Cl 0.8348 0.3773 0.0369
72 Cl 0.8348 0.9575 0.7980
73 Cl 0.8405 0.5425 0.3773
74 Cl 0.8405 0.7980 0.4631
75 Cl 0.8773 0.0425 0.3405
76 Cl 0.8773 0.3348 0.5369
77 Cl 0.9575 0.6595 0.1227
78 Cl 0.9575 0.7980 0.8348
79 Cl 0.9631 0.1652 0.6227
80 Cl 0.9631 0.2980 0.3405

Results
Total DFT energy (no corrections) ... -0.2060 Ry/atom
Density ... 3.6 g/cm³
N(E_F) ... 7.38 states/eV/cell
Space group ... Ia-3d, No. 230

***

Here is a geometry-optimized Ag2AsCl structure from the Alexandria database. Energies are from GGA-PBE.

Lattice parameters (Å, degrees): 9.1923 3.3884 7.4149 90.00 119.93 90.00
Sites, in units of the cell vectors:
1 Ag 0.0000 0.0000 0.0000
2 Ag 0.1616 0.0000 0.7402
3 Ag 0.5000 0.5000 0.0000
4 Ag 0.6616 0.5000 0.7402
5 As 0.4228 0.0000 0.6929
6 As 0.9228 0.5000 0.6929
7 Cl 0.0728 0.5000 0.2837
8 Cl 0.5728 0.0000 0.2837

Results
Total DFT energy (no corrections) ... -0.2257 Ry/atom
Density ... 5.4 g/cm³
N(E_F) ... 1.71 states/eV/cell
Space group ... Cm, No. 8